## i
VASP calculation (PBE) on crystalline Ba2CdH at its relaxed geometry.

Unit cell a=4.4326 b=4.4326 c=24.5577 alpha=90.00 beta=90.00 gamma=120.00
Fractional positions:
Ba (0.0000, 0.0000, 0.2331)
Ba (0.0000, 0.0000, 0.7669)
Ba (0.3333, 0.6667, 0.4336)
Ba (0.3333, 0.6667, 0.8997)
Ba (0.6667, 0.3333, 0.1003)
Ba (0.6667, 0.3333, 0.5664)
Cd (0.0000, 0.0000, 0.0000)
Cd (0.3333, 0.6667, 0.6667)
Cd (0.6667, 0.3333, 0.3333)
H (0.0000, 0.0000, 0.5000)
H (0.3333, 0.6667, 0.1667)
H (0.6667, 0.3333, 0.8333)

SG = R-3m, No. 166
Magnetic moment = 0.9 μB per formula unit

=====

## ii
VASP calculation (PBE) on crystalline Ba2CdH at its relaxed geometry.

Unit cell a=8.0819 b=8.0819 c=8.6671 alpha=90.00 beta=90.00 gamma=90.00
Fractional positions:
Ba (0.1556, 0.2500, 0.1250)
Ba (0.2500, 0.6556, 0.3750)
Ba (0.2500, 0.8444, 0.8750)
Ba (0.3444, 0.2500, 0.6250)
Ba (0.6556, 0.7500, 0.6250)
Ba (0.7500, 0.1556, 0.8750)
Ba (0.7500, 0.3444, 0.3750)
Ba (0.8444, 0.7500, 0.1250)
Cd (0.0000, 0.0000, 0.5000)
Cd (0.0000, 0.5000, 0.7500)
Cd (0.5000, 0.0000, 0.2500)
Cd (0.5000, 0.5000, 0.0000)
H (0.0000, 0.0000, 0.0000)
H (0.0000, 0.5000, 0.2500)
H (0.5000, 0.0000, 0.7500)
H (0.5000, 0.5000, 0.5000)

SG = I-42d, No. 122
Magnetic moment = 0.1 μB per formula unit

=====

Result of the stability comparison: i is the least stable of them.

=====

## i
VASP calculation (PBE) on crystalline Ba2CdH at its relaxed geometry.

Unit cell a=4.4702 b=3.9431 c=8.0436 alpha=90.00 beta=99.56 gamma=90.00
Fractional positions:
Ba (0.0739, 0.0000, 0.2688)
Ba (0.9261, 0.0000, 0.7312)
Cd (0.5000, 0.5000, 0.0000)
H (0.0000, 0.5000, 0.5000)

SG = P2/m, No. 10
Magnetic moment = 0.0 μB per formula unit

=====

## ii
VASP calculation (PBE) on crystalline Ba2CdH at its relaxed geometry.

Unit cell a=3.8280 b=3.8280 c=8.5210 alpha=90.00 beta=90.00 gamma=90.00
Fractional positions:
Ba (0.0000, 0.0000, 0.2233)
Ba (0.0000, 0.0000, 0.7767)
Cd (0.5000, 0.5000, 0.5000)
H (0.5000, 0.5000, 0.0000)

SG = P4/mmm, No. 123
Magnetic moment = 0.0 μB per formula unit

=====

Result of the stability comparison: ii is the least stable of them.

=====

## i
VASP calculation (PBE) on crystalline Ba4Cd2H at its relaxed geometry.

Unit cell a=7.5657 b=8.1340 c=10.0399 alpha=90.00 beta=108.61 gamma=90.00
Fractional positions:
Ba (0.0154, 0.0062, 0.2776)
Ba (0.0154, 0.4938, 0.2776)
Ba (0.3847, 0.7500, 0.0663)
Ba (0.4373, 0.7500, 0.6390)
Ba (0.5627, 0.2500, 0.3610)
Ba (0.6153, 0.2500, 0.9337)
Ba (0.9846, 0.5062, 0.7224)
Ba (0.9846, 0.9938, 0.7224)
Cd (0.1754, 0.2500, 0.0282)
Cd (0.2769, 0.2500, 0.5870)
Cd (0.7231, 0.7500, 0.4130)
Cd (0.8246, 0.7500, 0.9718)
H (0.2175, 0.7500, 0.7946)
H (0.7825, 0.2500, 0.2054)

SG = P2_1/m, No. 11
Magnetic moment = 0.0 μB per formula unit

=====

## ii
VASP calculation (PBE) on crystalline Ba4Cd2H at its relaxed geometry.

Unit cell a=5.5396 b=5.5396 c=18.1748 alpha=90.00 beta=90.00 gamma=90.00
Fractional positions:
Ba (0.0000, 0.0000, 0.1810)
Ba (0.0000, 0.0000, 0.8190)
Ba (0.0000, 0.5000, 0.0000)
Ba (0.0000, 0.5000, 0.5000)
Ba (0.5000, 0.0000, 0.0000)
Ba (0.5000, 0.0000, 0.5000)
Ba (0.5000, 0.5000, 0.3190)
Ba (0.5000, 0.5000, 0.6810)
Cd (0.0000, 0.0000, 0.3749)
Cd (0.0000, 0.0000, 0.6251)
Cd (0.5000, 0.5000, 0.1251)
Cd (0.5000, 0.5000, 0.8749)
H (0.0000, 0.0000, 0.0000)
H (0.5000, 0.5000, 0.5000)

SG = I4/mmm, No. 139
Magnetic moment = 0.0 μB per formula unit

=====

Result of the stability comparison: ii is the least stable of them.